[1]
Density functional theory data (PBE) for a relaxed structure of Ca2AgHg3.

Unit cell a=9.9750 b=9.3755 c=6.0928 alpha=77.09 beta=66.37 gamma=36.54
Closest atoms and distances in Å follow each position.
Fractional positions:
Ca (0.2492, 0.7508, 0.7508)  10 Hg 3.35-3.44, 2 Ag 3.40, 2 Ca 3.56-3.58
Ca (0.2500, 0.2500, 0.2500)  8 Hg 3.35-3.38, 4 Ag 3.37, 2 Ca 3.57
Ca (0.7500, 0.7500, 0.7500)  8 Hg 3.35-3.38, 4 Ag 3.37, 2 Ca 3.57
Ca (0.7508, 0.2492, 0.2492)  10 Hg 3.35-3.44, 2 Ag 3.40, 2 Ca 3.56-3.58
Ag (0.1673, 0.1673, 0.8327)  3 Hg 2.82-2.83
Ag (0.8327, 0.8327, 0.1673)  3 Hg 2.82-2.83
Hg (0.1617, 0.6697, 0.3303)  1 Ag 2.82, 2 Hg 2.91-2.92
Hg (0.3303, 0.8383, 0.1617)  1 Ag 2.82, 2 Hg 2.91-2.92
Hg (0.3305, 0.3305, 0.6695)  1 Ag 2.83, 2 Hg 2.91
Hg (0.6695, 0.6695, 0.3305)  1 Ag 2.83, 2 Hg 2.91
Hg (0.6697, 0.1617, 0.8383)  1 Ag 2.82, 2 Hg 2.91-2.92
Hg (0.8383, 0.3303, 0.6697)  1 Ag 2.82, 2 Hg 2.91-2.92

Output
Total moment   0.0 μB per cell
Symmetry   Fmmm (69)
ΔE_f   -0.4088 eV per atom

[2]
Density functional theory data (PBE) for a relaxed structure of KPa3Cu4O12.

Unit cell a=7.2205 b=7.2205 c=7.2205 alpha=104.57 beta=104.57 gamma=104.57
Closest atoms and distances in Å follow each position.
Fractional positions:
K (0.0000, 0.0000, 0.0000)  6 O 2.93
Pa (0.0000, 0.5570, 0.4430)  6 O 2.08-2.27
Pa (0.4430, 0.0000, 0.5570)  6 O 2.08-2.27
Pa (0.5570, 0.4430, 0.0000)  6 O 2.08-2.27
Cu (0.0622, 0.5000, 0.9378)  3 O 1.84-1.90
Cu (0.5000, 0.5000, 0.5000)  3 O 1.89
Cu (0.5000, 0.9378, 0.0622)  3 O 1.84-1.90
Cu (0.9378, 0.0622, 0.5000)  3 O 1.84-1.90
O (0.0060, 0.6181, 0.7424)  1 Cu 1.84
O (0.1040, 0.8960, 0.5000)  1 Cu 1.90
O (0.2576, 0.3819, 0.9940)  1 Cu 1.84
O (0.3348, 0.6652, 0.5000)  1 Cu 1.89
O (0.3819, 0.9940, 0.2576)  1 Cu 1.84
O (0.5000, 0.1040, 0.8960)  1 Cu 1.90
O (0.5000, 0.3348, 0.6652)  1 Cu 1.89
O (0.6181, 0.7424, 0.0060)  1 Cu 1.84
O (0.6652, 0.5000, 0.3348)  1 Cu 1.89
O (0.7424, 0.0060, 0.6181)  1 Cu 1.84
O (0.8960, 0.5000, 0.1040)  1 Cu 1.90
O (0.9940, 0.2576, 0.3819)  1 Cu 1.84

Output
Total moment   4.0 μB per cell
Formation energy (no corrections)   -2.112 eV/atom
Symmetry   R32 (155)

[3]
Density functional theory data (PBE) for a relaxed structure of Rb2Cd.

Unit cell a=8.4495 b=8.4495 c=8.4495 alpha=60.00 beta=60.00 gamma=60.00
Closest atoms and distances in Å follow each position.
Fractional positions:
Rb (0.0000, 0.0000, 0.0000)  6 Rb 4.22
Rb (0.0000, 0.0000, 0.5000)  6 Rb 4.22
Rb (0.0000, 0.5000, 0.0000)  6 Rb 4.22
Rb (0.5000, 0.0000, 0.0000)  6 Rb 4.22
Cd (0.3750, 0.3750, 0.3750)  12 Rb 4.95, 4 Cd 5.17
Cd (0.6250, 0.6250, 0.6250)  12 Rb 4.95, 4 Cd 5.17

Output
Total moment   0.0 μB per cell
E above lowest polymorph   301.6 meV per atom
Symmetry   Fd-3m (227)
ΔE_f   0.2613 eV per atom

[4]
Density functional theory data (PBE) for a relaxed structure of LiAc4Ce3N8.

Unit cell a=7.4307 b=7.4307 c=7.4307 alpha=59.93 beta=59.93 gamma=59.93
Closest atoms and distances in Å follow each position.
Fractional positions:
Li (0.0000, 0.0000, 0.0000)  6 N 2.67
Ac (0.0000, 0.0000, 0.5000)  6 N 2.72-2.78
Ac (0.0000, 0.5000, 0.0000)  6 N 2.72-2.78
Ac (0.5000, 0.0000, 0.0000)  6 N 2.72-2.78
Ac (0.5000, 0.5000, 0.5000)  6 N 2.60
Ce (0.0000, 0.5000, 0.5000)  6 N 2.48-2.54
Ce (0.5000, 0.0000, 0.5000)  6 N 2.48-2.54
Ce (0.5000, 0.5000, 0.0000)  6 N 2.48-2.54
N (0.2533, 0.2533, 0.7181)  2 Ce 2.48, 1 Ac 2.60, 1 Li 2.67
N (0.2533, 0.7181, 0.2533)  2 Ce 2.48, 1 Ac 2.60, 1 Li 2.67
N (0.2584, 0.2584, 0.2584)  3 Ce 2.54, 3 Ac 2.72
N (0.2819, 0.7467, 0.7467)  2 Ce 2.48, 1 Ac 2.60, 1 Li 2.67
N (0.7181, 0.2533, 0.2533)  2 Ce 2.48, 1 Ac 2.60, 1 Li 2.67
N (0.7416, 0.7416, 0.7416)  3 Ce 2.54, 3 Ac 2.72
N (0.7467, 0.2819, 0.7467)  2 Ce 2.48, 1 Ac 2.60, 1 Li 2.67
N (0.7467, 0.7467, 0.2819)  2 Ce 2.48, 1 Ac 2.60, 1 Li 2.67

Output
Total moment   0.0 μB per cell
Formation energy (no corrections)   -1.051 eV/atom
Symmetry   R-3m (166)

[5]
Density functional theory data (PBE) for a relaxed structure of YAuC.

Unit cell a=3.5867 b=3.5867 c=4.1444 alpha=90.00 beta=90.00 gamma=90.00
Closest atoms and distances in Å follow each position.
Fractional positions:
Y (0.0000, 0.0000, 0.0000)  4 C 2.54
Au (0.5000, 0.5000, 0.5000)  2 C 2.07
C (0.5000, 0.5000, 0.0000)  2 Au 2.07

Output
Total moment   0.0 μB per cell
Symmetry   P4/mmm (123)
ΔE_f   -0.1228 eV per atom

[6]
Density functional theory data (PBE) for a relaxed structure of RbB3P.

Unit cell a=4.5312 b=6.9234 c=6.9234 alpha=105.95 beta=90.00 gamma=90.00
Closest atoms and distances in Å follow each position.
Fractional positions:
Rb (0.0000, 0.2128, 0.7872)  6 B 3.30-3.58, 4 P 3.51-3.56
Rb (0.0000, 0.7872, 0.2128)  6 B 3.30-3.58, 4 P 3.51-3.56
B (0.1867, 0.3291, 0.3291)  4 B 1.69-1.78
B (0.3141, 0.5279, 0.5279)  4 B 1.68-1.80
B (0.5000, 0.2899, 0.4693)  5 B 1.78-1.98
B (0.5000, 0.4693, 0.2899)  5 B 1.78-1.98
B (0.6859, 0.5279, 0.5279)  4 B 1.68-1.80
B (0.8133, 0.3291, 0.3291)  4 B 1.69-1.78
P (0.0000, 0.6797, 0.6797)  2 B 1.90
P (0.5000, 0.1672, 0.1672)  4 B 1.96-2.03

Output
Total moment   0.0 μB per cell
E above lowest polymorph   20.3 meV per atom
Symmetry   Amm2 (38)
ΔE_f   0.0298 eV per atom

[7]
Density functional theory data (PBE) for a relaxed structure of NiAg2Os.

Unit cell a=2.7374 b=2.7374 c=8.0958 alpha=90.00 beta=90.00 gamma=90.00
Closest atoms and distances in Å follow each position.
Fractional positions:
Ni (0.0000, 0.0000, 0.0000)  4 Os 2.52, 4 Ni 2.74, 4 Ag 2.79
Ag (0.0000, 0.0000, 0.4711)  8 Ag 2.74-2.99, 4 Os 2.93
Ag (0.5000, 0.5000, 0.7525)  8 Ag 2.74-2.99, 4 Ni 2.79
Os (0.5000, 0.5000, 0.1986)  4 Ni 2.52, 4 Os 2.74

Output
Total moment   0.0 μB per cell
E above lowest polymorph   17.5 meV per atom
Symmetry   P4mm (99)
ΔE_f   0.3315 eV per atom

[8]
Density functional theory data (PBE) for a relaxed structure of La2PmTm8.

Unit cell a=9.3854 b=9.3854 c=9.3854 alpha=145.97 beta=129.11 gamma=62.64
Closest atoms and distances in Å follow each position.
Fractional positions:
La (0.2011, 0.2011, 0.0000)  10 Tm 3.38-3.63
La (0.7989, 0.7989, 0.0000)  10 Tm 3.38-3.63
Pm (0.5000, 0.5000, 0.0000)  4 Tm 3.22
Tm (0.0709, 0.3637, 0.7072)  1 Pm 3.22, 3 Tm 3.34-3.51, 3 La 3.38-3.52
Tm (0.2079, 0.0000, 0.2079)  7 Tm 3.35-3.51, 2 Pm 3.62, 2 La 3.63
Tm (0.3404, 0.8404, 0.5000)  8 Tm 3.48-3.67, 2 La 3.54, 2 Pm 3.75
Tm (0.3435, 0.6363, 0.7072)  1 Pm 3.22, 3 Tm 3.34-3.51, 3 La 3.38-3.52
Tm (0.6565, 0.3637, 0.2928)  1 Pm 3.22, 3 Tm 3.34-3.51, 3 La 3.38-3.52
Tm (0.6596, 0.1596, 0.5000)  8 Tm 3.48-3.67, 2 La 3.54, 2 Pm 3.75
Tm (0.7921, 0.0000, 0.7921)  7 Tm 3.35-3.51, 2 Pm 3.62, 2 La 3.63
Tm (0.9291, 0.6363, 0.2928)  1 Pm 3.22, 3 Tm 3.34-3.51, 3 La 3.38-3.52

Output
Total moment   0.0 μB per cell
E above lowest polymorph   86.6 meV per atom
Symmetry   Immm (71)
ΔE_f   0.1237 eV per atom

[9]
Density functional theory data (PBE) for a relaxed structure of K2SbTeSe4.

Unit cell a=8.6729 b=8.6729 c=8.6035 alpha=117.28 beta=117.28 gamma=89.97
Closest atoms and distances in Å follow each position.
Fractional positions:
K (0.0000, 0.0000, 0.0000)  4 Se 3.23-3.24
K (0.0000, 0.0000, 0.5000)  4 Se 3.23-3.24
K (0.0000, 0.5000, 0.0000)  6 Se 3.25-3.35
K (0.5000, 0.0000, 0.5000)  6 Se 3.25-3.35
Sb (0.5000, 0.5000, 0.0000)  6 Se 2.92-2.97
Sb (0.5000, 0.5000, 0.5000)  6 Se 2.92-2.97
Te (0.0000, 0.5000, 0.5000)  4 Se 2.80-2.87
Te (0.5000, 0.0000, 0.0000)  4 Se 2.80-2.87
Se (0.2387, 0.7120, 0.4952)  1 Te 2.80, 1 Sb 2.92
Se (0.2656, 0.3010, 0.5485)  1 Te 2.87, 2 Sb 2.95-2.97
Se (0.2880, 0.7613, 0.0048)  1 Te 2.80, 1 Sb 2.92
Se (0.3010, 0.2656, 0.0485)  1 Te 2.87, 2 Sb 2.95-2.97
Se (0.6990, 0.7344, 0.9515)  1 Te 2.87, 2 Sb 2.95-2.97
Se (0.7120, 0.2387, 0.9952)  1 Te 2.80, 1 Sb 2.92
Se (0.7344, 0.6990, 0.4515)  1 Te 2.87, 2 Sb 2.95-2.97
Se (0.7613, 0.2880, 0.5048)  1 Te 2.80, 1 Sb 2.92

Output
Total moment   0.0 μB per cell
Formation energy (no corrections)   -0.551 eV/atom
Symmetry   C2/c (15)

[10]
Density functional theory data (PBE) for a relaxed structure of Li3BiPd4.

Unit cell a=9.1371 b=5.8600 c=4.6823 alpha=90.00 beta=90.00 gamma=90.00
Closest atoms and distances in Å follow each position.
Fractional positions:
Li (0.0000, 0.0000, 0.0000)  8 Pd 2.72-2.73, 2 Bi 2.93, 2 Li 2.94
Li (0.2500, 0.0000, 0.3955)  8 Pd 2.70-2.76, 4 Li 2.93-2.94
Li (0.2500, 0.5000, 0.4200)  8 Pd 2.68-2.92, 2 Li 2.93
Li (0.5000, 0.0000, 0.0000)  8 Pd 2.72-2.73, 2 Bi 2.93, 2 Li 2.94
Li (0.7500, 0.0000, 0.6045)  8 Pd 2.70-2.76, 4 Li 2.93-2.94
Li (0.7500, 0.5000, 0.5800)  8 Pd 2.68-2.92, 2 Li 2.93
Bi (0.0000, 0.5000, 0.0000)  8 Pd 2.80, 4 Li 2.93-3.01
Bi (0.5000, 0.5000, 0.0000)  8 Pd 2.80, 4 Li 2.93-3.01
Pd (0.0000, 0.2366, 0.5000)  6 Li 2.72-2.78, 3 Pd 2.77-2.92, 2 Bi 2.80
Pd (0.0000, 0.7634, 0.5000)  6 Li 2.72-2.78, 3 Pd 2.77-2.92, 2 Bi 2.80
Pd (0.2500, 0.2395, 0.8892)  6 Li 2.68-2.92, 2 Bi 2.80, 3 Pd 2.81-2.92
Pd (0.2500, 0.7605, 0.8892)  6 Li 2.68-2.92, 2 Bi 2.80, 3 Pd 2.81-2.92
Pd (0.5000, 0.2366, 0.5000)  6 Li 2.72-2.78, 3 Pd 2.77-2.92, 2 Bi 2.80
Pd (0.5000, 0.7634, 0.5000)  6 Li 2.72-2.78, 3 Pd 2.77-2.92, 2 Bi 2.80
Pd (0.7500, 0.2395, 0.1108)  6 Li 2.68-2.92, 2 Bi 2.80, 3 Pd 2.81-2.92
Pd (0.7500, 0.7605, 0.1108)  6 Li 2.68-2.92, 2 Bi 2.80, 3 Pd 2.81-2.92

Output
Total moment   0.0 μB per cell
E above lowest polymorph   0.0 meV per atom
Symmetry   Pmma (51)
ΔE_f   -0.4452 eV per atom

[11]
Density functional theory data (PBE) for a relaxed structure of ThZn11Ru.

Unit cell a=6.9685 b=6.9685 c=6.7276 alpha=97.84 beta=97.84 gamma=136.32
Closest atoms and distances in Å follow each position.
Fractional positions:
Th (0.0000, 0.0000, 0.0000)  18 Zn 3.19-3.48, 2 Ru 3.36
Zn (0.0000, 0.5000, 0.0000)  10 Zn 2.59-2.80
Zn (0.0176, 0.6680, 0.6412)  9 Zn 2.64-2.94, 1 Ru 2.69
Zn (0.2767, 0.4999, 0.7778)  8 Zn 2.59-2.89, 1 Ru 2.62
Zn (0.3320, 0.9824, 0.3588)  9 Zn 2.64-2.94, 1 Ru 2.69
Zn (0.5000, 0.0000, 0.0000)  10 Zn 2.59-2.80
Zn (0.4999, 0.2767, 0.7778)  8 Zn 2.59-2.89, 1 Ru 2.62
Zn (0.5000, 0.5000, 0.5000)  8 Zn 2.59-2.82, 2 Ru 2.59
Zn (0.5001, 0.7233, 0.2222)  8 Zn 2.59-2.89, 1 Ru 2.62
Zn (0.6680, 0.0176, 0.6412)  9 Zn 2.64-2.94, 1 Ru 2.69
Zn (0.7233, 0.5001, 0.2222)  8 Zn 2.59-2.89, 1 Ru 2.62
Zn (0.9824, 0.3320, 0.3588)  9 Zn 2.64-2.94, 1 Ru 2.69
Ru (0.0000, 0.0000, 0.5000)  10 Zn 2.59-2.69

Output
Total moment   0.0 μB per cell
Symmetry   C2/m (12)
ΔE_f   -0.1678 eV per atom

[12]
Density functional theory data (PBE) for a relaxed structure of KScMo2.

Unit cell a=6.0157 b=6.0157 c=2.7018 alpha=94.21 beta=94.21 gamma=124.87
Closest atoms and distances in Å follow each position.
Fractional positions:
K (0.0000, 0.0000, 0.0000)  2 K 2.70, 2 Sc 2.78
Sc (0.5000, 0.5000, 0.0000)  2 Sc 2.70, 2 K 2.78
Mo (0.0000, 0.5000, 0.5000)  4 Mo 2.70-2.78
Mo (0.5000, 0.0000, 0.5000)  4 Mo 2.70-2.78

Output
Total moment   0.3 μB per cell
E above lowest polymorph   645.9 meV per atom
Symmetry   C2/m (12)
ΔE_f   1.1268 eV per atom

What is the formula in the fourth record? LiAc4Ce3N8